The following is a PBEsol calculation of a relaxed Ba3CrIn crystal, from Alexandria via LeMat-Bulk.

The space group is Pm-3m (No. 221) and the conventional cell measures 6.5476, 6.5476 and 6.5476 Å, with angles of 90.00, 90.00 and 90.00 degrees. The distinct sites, in fractional coordinates, are Ba at (0.0000, 0.0000, 0.5000), Cr at (0.5000, 0.5000, 0.5000) and In at (0.0000, 0.0000, 0.0000).

For the formation energy from the elements, the calculation gives 0.652 eV per atom. The calculation puts the energy at -3.2819 eV per atom. As for the size of the total moment: 5.25 μB per formula unit.


The following is a PBEsol calculation of a relaxed TcPRh2 crystal, from Alexandria via LeMat-Bulk.

The space group is R-3m (No. 166, hexagonal axes) and the conventional cell measures 2.7447, 2.7447 and 24.2215 Å, with angles of 90.00, 90.00 and 120.00 degrees. The distinct sites, in fractional coordinates, are Tc at (0.0000, 0.0000, 0.0000), P at (0.0000, 0.0000, 0.5000) and Rh at (0.0000, 0.0000, 0.2419).

For the formation energy from the elements, the calculation gives -0.213 eV per atom. The calculation puts the energy at -8.5465 eV per atom. As for the size of the total moment: 0.00 μB per formula unit.


The following is a PBEsol calculation of a relaxed LaBiAs3 crystal, from Alexandria via LeMat-Bulk.

The space group is Pm-3m (No. 221) and the conventional cell measures 5.2869, 5.2869 and 5.2869 Å, with angles of 90.00, 90.00 and 90.00 degrees. The distinct sites, in fractional coordinates, are La at (0.0000, 0.0000, 0.0000), Bi at (0.5000, 0.5000, 0.5000) and As at (0.0000, 0.5000, 0.5000).

For the formation energy from the elements, the calculation gives 0.269 eV per atom. The calculation puts the energy at -4.7216 eV per atom. As for the size of the total moment: 0.00 μB per formula unit.


The following is a PBEsol calculation of a relaxed KBeRe2Te crystal, from Alexandria via LeMat-Bulk.

The space group is P4/mmm (No. 123) and the conventional cell measures 4.2884, 4.2884 and 5.0277 Å, with angles of 90.00, 90.00 and 90.00 degrees. The distinct sites, in fractional coordinates, are K at (0.0000, 0.0000, 0.0000), Be at (0.0000, 0.0000, 0.5000), Re at (0.0000, 0.5000, 0.5000) and Te at (0.5000, 0.5000, 0.0000).

The calculation puts the uncorrected formation energy at 32.81 kcal/mol of atoms. The calculation puts the energy at -5.6417 eV per atom. As for the size of the total moment: 0.00 μB per formula unit.


The following is a PBEsol calculation of a relaxed LiPICl2 crystal, from Alexandria via LeMat-Bulk.

The space group is P4/mmm (No. 123) and the conventional cell measures 4.2754, 4.2754 and 6.5236 Å, with angles of 90.00, 90.00 and 90.00 degrees. The distinct sites, in fractional coordinates, are Li at (0.0000, 0.0000, 0.0000), P at (0.0000, 0.0000, 0.5000), I at (0.5000, 0.5000, 0.5000) and Cl at (0.0000, 0.5000, 0.0000).

The calculation puts the uncorrected formation energy at -1.69 kcal/mol of atoms. The calculation puts the energy at -2.7812 eV per atom. As for the size of the total moment: 1.22 μB per formula unit.


The following is a PBEsol calculation of a relaxed SrNiAg2 crystal, from Alexandria via LeMat-Bulk.

The space group is Pmm2 (No. 25) and the conventional cell measures 3.3840, 3.4267 and 6.7706 Å, with angles of 90.00, 90.00 and 90.00 degrees. The distinct sites, in fractional coordinates, are Sr at (0.0000, 0.0000, 0.0000), Ni at (0.5000, 0.5000, 0.2891), Ag at (0.0000, 0.0000, 0.4585) and Ag at (0.5000, 0.5000, 0.6755).

For the formation energy from the elements, the calculation gives 0.159 eV per atom. The calculation puts the energy at -3.4960 eV per atom. As for the size of the total moment: 0.00 μB per formula unit.


The following is a PBEsol calculation of a relaxed YZrTe crystal, from Alexandria via LeMat-Bulk.

The space group is F-43m (No. 216) and the conventional cell measures 6.8321, 6.8321 and 6.8321 Å, with angles of 90.00, 90.00 and 90.00 degrees. The distinct sites, in fractional coordinates, are Y at (0.0000, 0.0000, 0.0000), Zr at (0.0000, 0.0000, 0.5000) and Te at (0.2500, 0.2500, 0.2500).

The calculation puts the uncorrected formation energy at -8.52 kcal/mol of atoms. The calculation puts the energy at -6.8489 eV per atom. As for the offset from the most stable computed form: 0.018 eV/atom. As for the size of the total moment: 0.00 μB per formula unit.


The following is a PBEsol calculation of a relaxed AlRuSe crystal, from Alexandria via LeMat-Bulk.

The space group is F-43m (No. 216) and the conventional cell measures 5.8842, 5.8842 and 5.8842 Å, with angles of 90.00, 90.00 and 90.00 degrees. The distinct sites, in fractional coordinates, are Al at (0.0000, 0.0000, 0.0000), Ru at (0.2500, 0.2500, 0.2500) and Se at (0.2500, 0.2500, 0.7500).

The calculation puts the uncorrected formation energy at 7.87 kcal/mol of atoms. The calculation puts the energy at -5.6969 eV per atom. As for the offset from the most stable computed form: 0.000 eV/atom. As for the size of the total moment: 0.00 μB per formula unit.


The following is a PBEsol calculation of a relaxed Al2AsS crystal, from Alexandria via LeMat-Bulk.

The space group is I-42d (No. 122) and the conventional cell measures 5.4473, 5.4473 and 11.5843 Å, with angles of 90.00, 90.00 and 90.00 degrees. The distinct sites, in fractional coordinates, are Al at (0.2410, 0.2500, 0.1250), As at (0.0000, 0.0000, 0.5000) and S at (0.0000, 0.0000, 0.0000).

The calculation puts the uncorrected formation energy at -8.26 kcal/mol of atoms. The calculation puts the energy at -4.7766 eV per atom. As for the size of the total moment: 0.00 μB per formula unit.


The following is a PBEsol calculation of a relaxed HfC crystal, from Alexandria via LeMat-Bulk.

The space group is Fm-3m (No. 225) and the conventional cell measures 4.6053, 4.6053 and 4.6053 Å, with angles of 90.00, 90.00 and 90.00 degrees. The distinct sites, in fractional coordinates, are Hf at (0.0000, 0.0000, 0.0000) and C at (0.0000, 0.0000, 0.5000).

For the formation energy from the elements, the calculation gives -1.024 eV per atom. The calculation puts the energy at -11.0970 eV per atom. As for the offset from the most stable computed form: 0.000 eV/atom. As for the size of the total moment: 0.00 μB per formula unit.


The following is a PBEsol calculation of a relaxed BaSrMo2O6 crystal, from Alexandria via LeMat-Bulk.

The space group is Fm-3m (No. 225) and the conventional cell measures 7.9717, 7.9717 and 7.9717 Å, with angles of 90.00, 90.00 and 90.00 degrees. The distinct sites, in fractional coordinates, are Ba at (0.0000, 0.0000, 0.0000), Sr at (0.0000, 0.0000, 0.5000), Mo at (0.2500, 0.2500, 0.2500) and O at (0.0000, 0.2500, 0.2500).

The calculation puts the uncorrected formation energy at -56.70 kcal/mol of atoms. The calculation puts the energy at -8.3609 eV per atom. As for the size of the total moment: 0.00 μB per formula unit.


The following is a PBEsol calculation of a relaxed NiMoIr crystal, from Alexandria via LeMat-Bulk.

The space group is Imm2 (No. 44) and the conventional cell measures 2.6948, 3.7188 and 7.9300 Å, with angles of 90.00, 90.00 and 90.00 degrees. The distinct sites, in fractional coordinates, are Ni at (0.0000, 0.0000, 0.0000), Mo at (0.0000, 0.0000, 0.3343) and Ir at (0.0000, 0.0000, 0.6643).

For the formation energy from the elements, the calculation gives -0.216 eV per atom. The calculation puts the energy at -9.4653 eV per atom. As for the size of the total moment: 0.00 μB per formula unit.